No. 1
A relaxed Pm10Pr4Er crystal. Source: the Alexandria database, functional GGA-PBE.

Properties
The density of states at the Fermi level is 1.36 states/eV/atom. The symmetry is No. 87. For the magnetization, the calculation gives 0.0 μB/f.u. As for the total energy: -66.46 eV/cell.

Geometry as POSCAR:
```
Pm10Pr4Er
1.0
-4.992 4.992 5.312
4.992 -4.992 5.312
4.992 4.992 -5.312
Pm Pr Er
10 4 1
direct
0.045 0.723 0.092
0.047 0.955 0.678
0.250 0.750 0.500
0.277 0.368 0.322
0.368 0.047 0.092
0.632 0.953 0.908
0.723 0.632 0.678
0.750 0.250 0.500
0.953 0.045 0.322
0.955 0.277 0.908
0.172 0.559 0.731
0.441 0.172 0.613
0.559 0.828 0.387
0.828 0.441 0.269
0.500 0.500 0.000
```

No. 2
A relaxed RbTlTeAsCl crystal. Source: the Alexandria database, functional GGA-PBE.

Properties
The density of states at the Fermi level is 0.22 states/eV/atom. The symmetry is No. 8. For the magnetization, the calculation gives 0.0 μB/f.u. As for the offset from the most stable computed form: 0.061 eV/atom. Its uncorrected formation energy is -0.644 eV per atom.

Geometry as POSCAR:
```
RbTlTeAsCl
1.0
9.703 -2.336 0.000
9.703 2.336 0.000
-1.074 0.000 4.442
Rb Tl Te As Cl
1 1 1 1 1
direct
0.000 0.000 0.000
0.705 0.705 0.700
0.267 0.267 0.262
0.340 0.340 0.834
0.537 0.537 0.537
```

No. 3
A relaxed Tl12Hg5Cl3 crystal. Source: the Alexandria database, functional GGA-PBE.

Properties
The density of states at the Fermi level is 0.65 states/eV/atom. The symmetry is No. 230. For the magnetization, the calculation gives 0.0 μB/f.u. Its uncorrected formation energy is -0.083 eV per atom.

Geometry as POSCAR:
```
Tl12Hg5Cl3
1.0
-9.214 9.214 9.214
9.214 -9.214 9.214
9.214 9.214 -9.214
Tl Hg Cl
48 20 12
direct
0.064 0.224 0.157
0.064 0.340 0.907
0.067 0.724 0.660
0.067 0.843 0.407
0.093 0.657 0.433
0.093 0.936 0.660
0.157 0.064 0.224
0.157 0.593 0.933
0.160 0.224 0.567
0.160 0.436 0.593
0.224 0.157 0.064
0.224 0.567 0.160
0.276 0.340 0.933
0.276 0.436 0.343
0.340 0.907 0.064
0.340 0.933 0.276
0.343 0.276 0.436
0.343 0.567 0.907
0.407 0.067 0.843
0.407 0.840 0.564
0.433 0.093 0.657
0.433 0.840 0.776
0.436 0.343 0.276
0.436 0.593 0.160
0.564 0.407 0.840
0.564 0.657 0.724
0.567 0.160 0.224
0.567 0.907 0.343
0.593 0.160 0.436
0.593 0.933 0.157
0.657 0.433 0.093
0.657 0.724 0.564
0.660 0.067 0.724
0.660 0.093 0.936
0.724 0.564 0.657
0.724 0.660 0.067
0.776 0.433 0.840
0.776 0.843 0.936
0.840 0.564 0.407
0.840 0.776 0.433
0.843 0.407 0.067
0.843 0.936 0.776
0.907 0.064 0.340
0.907 0.343 0.567
0.933 0.157 0.593
0.933 0.276 0.340
0.936 0.660 0.093
0.936 0.776 0.843
0.000 0.000 0.000
0.000 0.000 0.500
0.000 0.500 0.000
0.000 0.500 0.500
0.125 0.750 0.875
0.125 0.875 0.250
0.250 0.125 0.875
0.250 0.625 0.375
0.375 0.250 0.625
0.375 0.625 0.750
0.500 0.000 0.000
0.500 0.000 0.500
0.500 0.500 0.000
0.500 0.500 0.500
0.625 0.375 0.250
0.625 0.750 0.375
0.750 0.375 0.625
0.750 0.875 0.125
0.875 0.125 0.750
0.875 0.250 0.125
0.125 0.250 0.375
0.125 0.375 0.750
0.250 0.375 0.125
0.250 0.875 0.625
0.375 0.125 0.250
0.375 0.750 0.125
0.625 0.250 0.875
0.625 0.875 0.750
0.750 0.125 0.375
0.750 0.625 0.875
0.875 0.625 0.250
0.875 0.750 0.625
```

No. 4
A relaxed Na2MgGaH crystal. Source: the Alexandria database, functional GGA-PBE.

Properties
The density of states at the Fermi level is 0.46 states/eV/atom. The symmetry is No. 123. For the magnetization, the calculation gives 0.0 μB/f.u. As for the total energy: -10.49 eV/cell.

Geometry as POSCAR:
```
Na2MgGaH
1.0
4.599 0.000 0.000
0.000 4.599 0.000
0.000 0.000 4.474
Na Mg Ga H
2 1 1 1
direct
0.000 0.500 0.000
0.500 0.000 0.000
0.000 0.000 0.500
0.500 0.500 0.500
0.000 0.000 0.000
```

No. 5
A relaxed LaYHRh2 crystal. Source: the Alexandria database, functional GGA-PBE.

Properties
The density of states at the Fermi level is 0.55 states/eV/atom. The symmetry is No. 123. For the magnetization, the calculation gives 0.0 μB/f.u. As for the total energy: -31.01 eV/cell.

Geometry as POSCAR:
```
LaYHRh2
1.0
4.514 0.000 0.000
0.000 4.514 0.000
0.000 0.000 4.309
La Y H Rh
1 1 1 2
direct
0.000 0.000 0.000
0.500 0.500 0.000
0.000 0.000 0.500
0.000 0.500 0.500
0.500 0.000 0.500
```

No. 6
A relaxed Cs2TiBr crystal. Source: the Alexandria database, functional GGA-PBE.

Properties
The density of states at the Fermi level is 0.00 states/eV/atom. The symmetry is No. 122. For the magnetization, the calculation gives 3.0 μB/f.u. As for the offset from the most stable computed form: 0.000 eV/atom. Its uncorrected formation energy is 0.162 eV per atom.

Geometry as POSCAR:
```
Cs2TiBr
1.0
-5.093 5.093 4.833
5.093 -5.093 4.833
5.093 5.093 -4.833
Cs Ti Br
4 2 2
direct
0.074 0.625 0.949
0.375 0.324 0.449
0.676 0.125 0.051
0.875 0.926 0.551
0.250 0.750 0.500
0.500 0.500 0.000
0.000 0.000 0.000
0.750 0.250 0.500
```

No. 7
A relaxed Pm6Si3Sn crystal. Source: the Alexandria database, functional GGA-PBE.

Properties
The density of states at the Fermi level is 0.86 states/eV/atom. The symmetry is No. 11. For the magnetization, the calculation gives 0.0 μB/f.u. Its uncorrected formation energy is -0.534 eV per atom.

Geometry as POSCAR:
```
Pm6Si3Sn
1.0
11.893 0.000 0.000
0.000 4.310 0.000
-3.732 0.000 11.856
Pm Si Sn
12 6 2
direct
0.026 0.250 0.392
0.108 0.250 0.947
0.224 0.750 0.272
0.292 0.750 0.759
0.374 0.250 0.543
0.421 0.750 0.093
0.579 0.250 0.907
0.626 0.750 0.457
0.708 0.250 0.241
0.776 0.250 0.728
0.892 0.750 0.053
0.974 0.750 0.608
0.048 0.250 0.168
0.188 0.750 0.502
0.342 0.250 0.920
0.658 0.750 0.080
0.812 0.250 0.498
0.952 0.750 0.832
0.444 0.250 0.303
0.556 0.750 0.697
```

No. 8
A relaxed PmZnSnRu crystal. Source: the Alexandria database, functional GGA-PBE.

Properties
The density of states at the Fermi level is 0.98 states/eV/atom. The symmetry is No. 216. For the magnetization, the calculation gives 0.0 μB/f.u. As for the total energy: -20.04 eV/cell.

Geometry as POSCAR:
```
PmZnSnRu
1.0
0.000 3.411 3.411
3.411 0.000 3.411
3.411 3.411 0.000
Pm Zn Sn Ru
1 1 1 1
direct
0.000 0.000 0.000
0.250 0.250 0.250
0.500 0.500 0.500
0.750 0.750 0.750
```

No. 9
A relaxed Tb2PrIO8 crystal. Source: the Alexandria database, functional GGA-PBE.

Properties
The symmetry is No. 65. For the magnetization, the calculation gives 0.0 μB/f.u. Its uncorrected formation energy is -2.287 eV per atom.

Geometry as POSCAR:
```
Tb2PrIO8
1.0
3.585 -3.605 0.000
3.585 3.605 0.000
0.000 0.000 7.002
Tb Pr I O
2 1 1 8
direct
0.000 0.000 0.250
0.000 0.000 0.750
0.500 0.500 0.000
0.500 0.500 0.500
0.182 0.818 0.000
0.236 0.764 0.500
0.318 0.318 0.300
0.318 0.318 0.700
0.682 0.682 0.300
0.682 0.682 0.700
0.764 0.236 0.500
0.818 0.182 0.000
```

No. 10
A relaxed Fe2ReGe crystal. Source: the Alexandria database, functional GGA-PBE.

Properties
The density of states at the Fermi level is 0.79 states/eV/atom. The symmetry is No. 122. For the magnetization, the calculation gives 0.0 μB/f.u. As for the total energy: -59.53 eV/cell.

Geometry as POSCAR:
```
Fe2ReGe
1.0
-2.669 2.669 5.103
2.669 -2.669 5.103
2.669 2.669 -5.103
Fe Re Ge
4 2 2
direct
0.122 0.625 0.997
0.375 0.372 0.497
0.628 0.125 0.003
0.875 0.878 0.503
0.000 0.000 0.000
0.750 0.250 0.500
0.250 0.750 0.500
0.500 0.500 0.000
```

No. 11
A relaxed SrIn2Cl crystal. Source: the Alexandria database, functional GGA-PBE.

Properties
The density of states at the Fermi level is 0.97 states/eV/atom. The symmetry is No. 216. For the magnetization, the calculation gives 0.0 μB/f.u. As for the offset from the most stable computed form: 0.203 eV/atom. Its uncorrected formation energy is -0.617 eV per atom.

Geometry as POSCAR:
```
SrIn2Cl
1.0
0.000 3.844 3.844
3.844 0.000 3.844
3.844 3.844 0.000
Sr In Cl
1 2 1
direct
0.000 0.000 0.000
0.500 0.500 0.500
0.750 0.750 0.750
0.250 0.250 0.250
```

No. 12
A relaxed Nb4Ga crystal. Source: the Alexandria database, functional GGA-PBE.

Properties
The density of states at the Fermi level is 1.09 states/eV/atom. The symmetry is No. 13. For the magnetization, the calculation gives 0.0 μB/f.u. As for the offset from the most stable computed form: 0.000 eV/atom.

Geometry as POSCAR:
```
Nb4Ga
1.0
5.136 0.000 0.000
0.000 8.016 0.000
-1.739 0.000 4.494
Nb Ga
8 2
direct
0.170 0.173 0.078
0.170 0.827 0.578
0.238 0.408 0.573
0.238 0.592 0.073
0.762 0.408 0.927
0.762 0.592 0.427
0.830 0.173 0.422
0.830 0.827 0.922
0.500 0.107 0.750
0.500 0.893 0.250
```